1.
# Al4GaAg5 (GGA-PBE, optimized geometry)
data_Al4GaAg5
_symmetry_space_group_name_H-M 'P m m n'
_symmetry_Int_Tables_number 59
_cell_length_a 5.715
_cell_length_b 9.139
_cell_length_c 7.520
_cell_angle_alpha 90.00
_cell_angle_beta 90.00
_cell_angle_gamma 90.00
loop_
_symmetry_equiv_pos_as_xyz
'x,y,z'
'-x,-y,-z'
'-x+1/2,-y+1/2,z'
'x+1/2,y+1/2,-z'
'x+1/2,-y,-z'
'-x+1/2,y,z'
'-x,y+1/2,-z'
'x,-y+1/2,z'
loop_
_atom_site_label
_atom_site_type_symbol
_atom_site_fract_x
_atom_site_fract_y
_atom_site_fract_z
Al1 Al 0.002 0.250 0.012
Al2 Al 0.250 0.528 0.508
Ga1 Ga 0.250 0.750 0.297
Ag1 Ag 0.006 0.002 0.806
Ag2 Ag 0.250 0.250 0.340
# DOS at the Fermi energy, states/eV per cell: 7.18
# Energy relative to the elements, kJ/mol of formula units: 137
# Energy above the lowest structure with this stoichiometry, meV per atom: 93



2.
# Hg4OsRh (GGA-PBE, optimized geometry)
data_Hg4OsRh
_symmetry_space_group_name_H-M 'F -4 3 m'
_symmetry_Int_Tables_number 216
_symmetry_space_group_name_Hall 'F -4 2 3'
_cell_length_a 7.843
_cell_length_b 7.843
_cell_length_c 7.843
_cell_angle_alpha 90.00
_cell_angle_beta 90.00
_cell_angle_gamma 90.00
loop_
_atom_site_label
_atom_site_type_symbol
_atom_site_fract_x
_atom_site_fract_y
_atom_site_fract_z
Hg1 Hg 0.125 0.125 0.125
Os1 Os 0.250 0.250 0.750
Rh1 Rh 0.000 0.000 0.500
# DOS at the Fermi energy, states/eV per cell: 27.01
# Energy relative to the elements, kJ/mol of formula units: 644



3.
# CdReP2O (GGA-PBE, optimized geometry)
data_CdReP2O
_symmetry_space_group_name_H-M 'P 4/m m m'
_symmetry_Int_Tables_number 123
_symmetry_space_group_name_Hall '-P 4 2'
_cell_length_a 4.824
_cell_length_b 4.824
_cell_length_c 3.755
_cell_angle_alpha 90.00
_cell_angle_beta 90.00
_cell_angle_gamma 90.00
loop_
_atom_site_label
_atom_site_type_symbol
_atom_site_fract_x
_atom_site_fract_y
_atom_site_fract_z
Cd1 Cd 0.000 0.000 0.000
Re1 Re 0.500 0.500 0.500
P1 P 0.000 0.500 0.500
O1 O 0.500 0.500 0.000
# DOS at the Fermi energy, states/eV per cell: 1.93
# ΔE_f (raw), meV per atom: -130.7
# Energy above the lowest structure with this stoichiometry, meV per atom: 0



4.
# Mg2CuSe (GGA-PBE, optimized geometry)
data_Mg2CuSe
_symmetry_space_group_name_H-M 'C m c m'
_symmetry_Int_Tables_number 63
_symmetry_space_group_name_Hall '-C 2c 2'
_cell_length_a 3.526
_cell_length_b 26.892
_cell_length_c 3.562
_cell_angle_alpha 90.00
_cell_angle_beta 90.00
_cell_angle_gamma 90.00
loop_
_atom_site_label
_atom_site_type_symbol
_atom_site_fract_x
_atom_site_fract_y
_atom_site_fract_z
Mg1 Mg 0.000 0.052 0.250
Mg2 Mg 0.000 0.173 0.750
Cu1 Cu 0.000 0.249 0.250
Se1 Se 0.000 0.403 0.250
# DOS at the Fermi energy, states/eV per cell: 5.40
# ΔE_f (raw), meV per atom: -361.0



5.
# Na2Be2PbO6 (GGA-PBE, optimized geometry)
data_Na2Be2PbO6
_symmetry_space_group_name_H-M 'P -3'
_symmetry_Int_Tables_number 147
_symmetry_space_group_name_Hall '-P 3'
_cell_length_a 5.3182
_cell_length_b 5.3182
_cell_length_c 5.9988
_cell_angle_alpha 90.00
_cell_angle_beta 90.00
_cell_angle_gamma 120.00
loop_
_atom_site_label
_atom_site_type_symbol
_atom_site_fract_x
_atom_site_fract_y
_atom_site_fract_z
Na1 Na 0.3333 0.6667 0.3920
Be1 Be 0.3333 0.6667 0.8396
Pb1 Pb 0.0000 0.0000 0.0000
O1 O 0.0623 0.3694 0.7939
# DOS at the Fermi energy, states/eV per cell: 6.88
# ΔE_f (raw), meV per atom: -1368.7



6.
# MgSeCl (GGA-PBE, optimized geometry)
data_MgSeCl
_symmetry_space_group_name_H-M 'I 4 m m'
_symmetry_Int_Tables_number 107
_symmetry_space_group_name_Hall 'I 4 -2'
_cell_length_a 3.164
_cell_length_b 3.164
_cell_length_c 15.918
_cell_angle_alpha 90.00
_cell_angle_beta 90.00
_cell_angle_gamma 90.00
loop_
_atom_site_label
_atom_site_type_symbol
_atom_site_fract_x
_atom_site_fract_y
_atom_site_fract_z
Mg1 Mg 0.000 0.000 0.000
Se1 Se 0.000 0.000 0.619
Cl1 Cl 0.000 0.000 0.409
# DOS at the Fermi energy, states/eV per cell: 1.05
# ΔE_f (raw), meV per atom: -904.1



7.
# MnCuBi2C (GGA-PBE, optimized geometry)
data_MnCuBi2C
_symmetry_space_group_name_H-M 'P 4/m m m'
_symmetry_Int_Tables_number 123
_symmetry_space_group_name_Hall '-P 4 2'
_cell_length_a 5.123
_cell_length_b 5.123
_cell_length_c 4.692
_cell_angle_alpha 90.00
_cell_angle_beta 90.00
_cell_angle_gamma 90.00
loop_
_atom_site_label
_atom_site_type_symbol
_atom_site_fract_x
_atom_site_fract_y
_atom_site_fract_z
Mn1 Mn 0.000 0.000 0.000
Cu1 Cu 0.000 0.000 0.500
Bi1 Bi 0.000 0.500 0.500
C1 C 0.500 0.500 0.000
# DOS at the Fermi energy, states/eV per cell: 3.43
# Energy relative to the elements, kJ/mol of formula units: 848



8.
# Y6Cd3Au (GGA-PBE, optimized geometry)
data_Y6Cd3Au
_symmetry_space_group_name_H-M 'P 1 21/m 1'
_symmetry_Int_Tables_number 11
_symmetry_space_group_name_Hall '-P 2yb'
_cell_length_a 9.509
_cell_length_b 5.203
_cell_length_c 11.762
_cell_angle_alpha 90.00
_cell_angle_beta 110.59
_cell_angle_gamma 90.00
loop_
_atom_site_label
_atom_site_type_symbol
_atom_site_fract_x
_atom_site_fract_y
_atom_site_fract_z
Y1 Y 0.025 0.250 0.405
Y2 Y 0.158 0.750 0.184
Y3 Y 0.243 0.250 0.013
Y4 Y 0.371 0.750 0.847
Y5 Y 0.380 0.250 0.350
Y6 Y 0.380 0.250 0.637
Cd1 Cd 0.036 0.750 0.878
Cd2 Cd 0.118 0.250 0.728
Cd3 Cd 0.265 0.750 0.477
Au1 Au 0.422 0.750 0.114
# DOS at the Fermi energy, states/eV per cell: 18.25
# Energy relative to the elements, kJ/mol of formula units: -337